Entry 1:
YPNO2 | GGA-PBE | relaxed

Results
- Uncorrected energy: -6.284 eV/atom
- Space group: P4/mmm, No. 123

Cell and atoms, written as CIF:
```
data_YPNO2
_cell_length_a 4.165
_cell_length_b 4.165
_cell_length_c 3.461
_cell_angle_alpha 90.00
_cell_angle_beta 90.00
_cell_angle_gamma 90.00
_symmetry_space_group_name_H-M 'P 1'
_symmetry_Int_Tables_number 1
_symmetry_space_group_name_Hall 'P 1'
loop_
_atom_site_label
_atom_site_type_symbol
_atom_site_fract_x
_atom_site_fract_y
_atom_site_fract_z
Y1 Y 0.000 0.000 0.000
P1 P 0.500 0.500 0.000
N1 N 0.500 0.500 0.500
O1 O 0.000 0.500 0.500
O2 O 0.500 0.000 0.500
```


Entry 2:
Zn2AgPt | GGA-PBE | relaxed

Results
- Uncorrected energy: -3.015 eV/atom
- Space group: R3m, No. 160
- Energy relative to the elements: -0.155 eV per atom

Cell and atoms, written as CIF:
```
data_Zn2AgPt
_cell_length_a 5.302
_cell_length_b 5.302
_cell_length_c 5.302
_cell_angle_alpha 46.14
_cell_angle_beta 46.14
_cell_angle_gamma 46.14
_symmetry_space_group_name_H-M 'P 1'
_symmetry_Int_Tables_number 1
_symmetry_space_group_name_Hall 'P 1'
loop_
_atom_site_label
_atom_site_type_symbol
_atom_site_fract_x
_atom_site_fract_y
_atom_site_fract_z
Zn1 Zn 0.000 0.000 0.000
Zn2 Zn 0.201 0.201 0.201
Ag1 Ag 0.782 0.782 0.782
Pt1 Pt 0.587 0.587 0.587
```


Entry 3:
Dy2YCdN | GGA-PBE | relaxed

Results
- Uncorrected energy: -5.836 eV/atom
- Space group: P4/mmm, No. 123

Cell and atoms, written as CIF:
```
data_Dy2YCdN
_cell_length_a 4.830
_cell_length_b 4.830
_cell_length_c 4.837
_cell_angle_alpha 90.00
_cell_angle_beta 90.00
_cell_angle_gamma 90.00
_symmetry_space_group_name_H-M 'P 1'
_symmetry_Int_Tables_number 1
_symmetry_space_group_name_Hall 'P 1'
loop_
_atom_site_label
_atom_site_type_symbol
_atom_site_fract_x
_atom_site_fract_y
_atom_site_fract_z
Dy1 Dy 0.000 0.500 0.000
Dy2 Dy 0.500 0.000 0.000
Y1 Y 0.000 0.000 0.500
Cd1 Cd 0.500 0.500 0.500
N1 N 0.000 0.000 0.000
```


Entry 4:
KRb2BrF2 | GGA-PBE | relaxed

Results
- Uncorrected energy: -3.704 eV/atom
- Space group: P4/mmm, No. 123

Cell and atoms, written as CIF:
```
data_KRb2BrF2
_cell_length_a 4.905
_cell_length_b 4.905
_cell_length_c 7.334
_cell_angle_alpha 90.00
_cell_angle_beta 90.00
_cell_angle_gamma 90.00
_symmetry_space_group_name_H-M 'P 1'
_symmetry_Int_Tables_number 1
_symmetry_space_group_name_Hall 'P 1'
loop_
_atom_site_label
_atom_site_type_symbol
_atom_site_fract_x
_atom_site_fract_y
_atom_site_fract_z
K1 K 0.000 0.000 0.000
Rb1 Rb 0.500 0.500 0.236
Rb2 Rb 0.500 0.500 0.764
Br1 Br 0.000 0.000 0.500
F1 F 0.000 0.500 0.000
F2 F 0.500 0.000 0.000
```